Compound: Sc3AuO
Source: Alexandria
Functional: PBE-GGA
Structure: optimized geometry

Values from the calculation:
total DFT energy (no corrections): -6.30 eV per atom

abc: 4.237 4.237 7.248
angles: 90.00 90.00 90.00
Element x y z (fractional)
Sc  0.000  0.000  0.793
Sc  0.500  0.000  0.433
Sc  0.000  0.500  0.433
Au  0.000  0.000  0.172
O  0.500  0.500  0.433